No. 1
KBa2ZnF8 | GGA-PBE | optimized geometry

Properties
Raw formation energy   -35.17 eV per formula unit
Calculated total energy   -4.6966 eV per atom
N(E_F)   7.58 states/eV/cell
Total magnetic moment   1.1 μB/f.u.
Calculated density   4.1 Mg/m³

Lattice parameters (Å, degrees): 4.5226 8.5155 5.7098 90.00 98.66 90.00
Closest atoms and distances in Å follow each position.
Fractional positions:
K1 0.0000 0.0000 0.0000  4 F 2.66-2.76
Ba1 0.5000 0.2615 0.5000  8 F 2.62-2.81
Ba2 0.5000 0.7385 0.5000  8 F 2.62-2.81
Zn1 0.0000 0.5000 0.0000  6 F 1.93-2.11
F1 0.0644 0.3121 0.7717  1 Zn 2.11
F2 0.0644 0.6879 0.7717  1 Zn 2.11
F3 0.3855 0.5000 0.1996  1 Zn 1.93
F4 0.4632 0.0000 0.7360  2 Ba 2.62, 2 K 2.66-2.76, 1 F 2.77
F5 0.5368 0.0000 0.2640  2 Ba 2.62, 2 K 2.66-2.76, 1 F 2.77
F6 0.6145 0.5000 0.8004  1 Zn 1.93
F7 0.9356 0.3121 0.2283  1 Zn 2.11
F8 0.9356 0.6879 0.2283  1 Zn 2.11

***

No. 2
BaLa3F | GGA-PBE | optimized geometry

Properties
Raw formation energy   2.74 eV per formula unit
Calculated total energy   -3.1664 eV per atom
Offset from the most stable computed form   1426 meV/atom
N(E_F)   9.82 states/eV/cell
Total magnetic moment   0.3 μB/f.u.
Calculated density   4.4 Mg/m³

Lattice parameters (Å, degrees): 6.0249 6.0249 6.0249 90.00 90.00 90.00
Closest atoms and distances in Å follow each position.
Fractional positions:
Ba1 0.0000 0.0000 0.0000  6 La 3.01
La1 0.0000 0.0000 0.5000  2 Ba 3.01
La2 0.0000 0.5000 0.0000  2 Ba 3.01
La3 0.5000 0.0000 0.0000  2 Ba 3.01
F1 0.5000 0.5000 0.5000  12 La 4.26

***

No. 3
Ba2LaF4 | GGA-PBE | optimized geometry

Properties
Raw formation energy   -20.19 eV per formula unit
Calculated total energy   -5.2063 eV per atom
N(E_F)   6.51 states/eV/cell
Total magnetic moment   1.3 μB/f.u.
Calculated density   4.1 Mg/m³

Lattice parameters (Å, degrees): 4.7122 4.7122 17.6575 90.00 90.00 90.00
Closest atoms and distances in Å follow each position.
Fractional positions:
Ba1 0.0000 0.0000 0.1765  5 F 3.44
Ba2 0.0000 0.0000 0.8235  5 F 3.44
Ba3 0.5000 0.5000 0.3235  5 F 3.44
Ba4 0.5000 0.5000 0.6765  5 F 3.44
La1 0.0000 0.0000 0.5000  6 F 2.27-2.36
La2 0.5000 0.5000 0.0000  6 F 2.27-2.36
F1 0.0000 0.0000 0.3712  1 La 2.27
F2 0.0000 0.0000 0.6288  1 La 2.27
F3 0.0000 0.5000 0.0000  2 La 2.36
F4 0.0000 0.5000 0.5000  2 La 2.36
F5 0.5000 0.0000 0.0000  2 La 2.36
F6 0.5000 0.0000 0.5000  2 La 2.36
F7 0.5000 0.5000 0.1288  1 La 2.27
F8 0.5000 0.5000 0.8712  1 La 2.27

***

No. 4
Ba2LaF | GGA-PBE | optimized geometry

Properties
Raw formation energy   -0.98 eV per formula unit
Calculated total energy   -2.9064 eV per atom
Offset from the most stable computed form   876 meV/atom
N(E_F)   15.34 states/eV/cell
Total magnetic moment   5.2 μB/f.u.
Calculated density   4.4 Mg/m³

Lattice parameters (Å, degrees): 8.6904 8.6904 8.6904 90.00 90.00 90.00
Closest atoms and distances in Å follow each position.
Fractional positions:
Ba1 0.2500 0.2500 0.2500  4 F 3.76, 4 La 3.76
Ba2 0.2500 0.2500 0.7500  4 F 3.76, 4 La 3.76
Ba3 0.2500 0.7500 0.2500  4 F 3.76, 4 La 3.76
Ba4 0.2500 0.7500 0.7500  4 F 3.76, 4 La 3.76
Ba5 0.7500 0.2500 0.2500  4 F 3.76, 4 La 3.76
Ba6 0.7500 0.2500 0.7500  4 F 3.76, 4 La 3.76
Ba7 0.7500 0.7500 0.2500  4 F 3.76, 4 La 3.76
Ba8 0.7500 0.7500 0.7500  4 La 3.76, 4 F 3.76
La1 0.0000 0.0000 0.0000  8 Ba 3.76
La2 0.0000 0.5000 0.5000  8 Ba 3.76
La3 0.5000 0.0000 0.5000  8 Ba 3.76
La4 0.5000 0.5000 0.0000  8 Ba 3.76
F1 0.0000 0.0000 0.5000  8 Ba 3.76
F2 0.0000 0.5000 0.0000  8 Ba 3.76
F3 0.5000 0.0000 0.0000  8 Ba 3.76
F4 0.5000 0.5000 0.5000  8 Ba 3.76

***

No. 5
BaLa2F7 | GGA-PBE | optimized geometry

Properties
Raw formation energy   -38.23 eV per formula unit
Calculated total energy   -6.3110 eV per atom
N(E_F)   2.11 states/eV/cell
Total magnetic moment   0.0 μB/f.u.
Calculated density   4.6 Mg/m³

Lattice parameters (Å, degrees): 7.0136 7.0136 4.4301 90.00 90.00 115.31
Closest atoms and distances in Å follow each position.
Fractional positions:
Ba1 0.0000 0.0000 0.0000  10 F 2.75-3.07
La1 0.3093 0.6907 0.5000  7 F 2.26-2.50
La2 0.6907 0.3093 0.5000  7 F 2.26-2.50
F1 0.0526 0.3223 0.5000  2 La 2.44-2.50
F2 0.2321 0.7679 0.0000  2 La 2.40
F3 0.3223 0.0526 0.5000  2 La 2.44-2.50
F4 0.5000 0.5000 0.5000  2 La 2.26
F5 0.6777 0.9474 0.5000  2 La 2.44-2.50
F6 0.7679 0.2321 0.0000  2 La 2.40
F7 0.9474 0.6777 0.5000  2 La 2.44-2.50

***

No. 6
BaLa3F | GGA-PBE | optimized geometry

Properties
Raw formation energy   -4.39 eV per formula unit
Calculated total energy   -4.5926 eV per atom
Offset from the most stable computed form   0 meV/atom
N(E_F)   4.36 states/eV/cell
Total magnetic moment   0.0 μB/f.u.
Calculated density   5.9 Mg/m³

Lattice parameters (Å, degrees): 5.4333 5.4333 5.4333 90.00 90.00 90.00
Closest atoms and distances in Å follow each position.
Fractional positions:
Ba1 0.0000 0.0000 0.0000  12 La 3.84
La1 0.0000 0.5000 0.5000  2 F 2.72
La2 0.5000 0.0000 0.5000  2 F 2.72
La3 0.5000 0.5000 0.0000  2 F 2.72
F1 0.5000 0.5000 0.5000  6 La 2.72

***

No. 7
Ba2LaF | GGA-PBE | optimized geometry

Properties
Raw formation energy   -4.49 eV per formula unit
Calculated total energy   -3.7826 eV per atom
Offset from the most stable computed form   0 meV/atom
N(E_F)   16.63 states/eV/cell
Total magnetic moment   0.0 μB/f.u.
Calculated density   4.2 Mg/m³

Lattice parameters (Å, degrees): 8.2719 8.2719 9.9452 90.00 90.00 90.00
Closest atoms and distances in Å follow each position.
Fractional positions:
Ba1 0.1142 0.2500 0.1250  2 F 2.59
Ba2 0.2500 0.6142 0.3750  2 F 2.59
Ba3 0.2500 0.8858 0.8750  2 F 2.59
Ba4 0.3858 0.2500 0.6250  2 F 2.59
Ba5 0.6142 0.7500 0.6250  2 F 2.59
Ba6 0.7500 0.1142 0.8750  2 F 2.59
Ba7 0.7500 0.3858 0.3750  2 F 2.59
Ba8 0.8858 0.7500 0.1250  2 F 2.59
La1 0.0000 0.0000 0.5000  8 Ba 4.00-4.37
La2 0.0000 0.5000 0.7500  8 Ba 4.00-4.37
La3 0.5000 0.0000 0.2500  8 Ba 4.00-4.37
La4 0.5000 0.5000 0.0000  8 Ba 4.00-4.37
F1 0.0000 0.0000 0.0000  4 Ba 2.59
F2 0.0000 0.5000 0.2500  4 Ba 2.59
F3 0.5000 0.0000 0.7500  4 Ba 2.59
F4 0.5000 0.5000 0.5000  4 Ba 2.59

***

No. 8
BaLaF2 | GGA-PBE | optimized geometry

Properties
Raw formation energy   -10.07 eV per formula unit
Calculated total energy   -5.1662 eV per atom
Offset from the most stable computed form   200 meV/atom
N(E_F)   8.69 states/eV/cell
Total magnetic moment   2.4 μB/f.u.
Calculated density   4.6 Mg/m³

Lattice parameters (Å, degrees): 6.1019 6.1019 12.2430 90.00 90.00 90.00
Closest atoms and distances in Å follow each position.
Fractional positions:
Ba1 0.0000 0.0000 0.0000  4 F 2.85
Ba2 0.0000 0.5000 0.2500  4 F 2.85
Ba3 0.5000 0.0000 0.7500  4 F 2.85
Ba4 0.5000 0.5000 0.5000  4 F 2.85
La1 0.0000 0.0000 0.5000  4 F 2.47
La2 0.0000 0.5000 0.7500  4 F 2.47
La3 0.5000 0.0000 0.2500  4 F 2.47
La4 0.5000 0.5000 0.0000  4 F 2.47
F1 0.1953 0.2500 0.6250  2 La 2.47
F2 0.2500 0.6953 0.8750  2 La 2.47
F3 0.2500 0.8047 0.3750  2 La 2.47
F4 0.3047 0.2500 0.1250  2 La 2.47
F5 0.6953 0.7500 0.1250  2 La 2.47
F6 0.7500 0.1953 0.3750  2 La 2.47
F7 0.7500 0.3047 0.8750  2 La 2.47
F8 0.8047 0.7500 0.6250  2 La 2.47

***

No. 9
Ba2LaF6 | GGA-PBE | optimized geometry

Properties
Raw formation energy   -33.82 eV per formula unit
Calculated total energy   -5.9799 eV per atom
Total magnetic moment   1.1 μB/f.u.
Calculated density   5.0 Mg/m³

Lattice parameters (Å, degrees): 7.4858 7.4858 7.4858 146.91 129.89 61.37
Closest atoms and distances in Å follow each position.
Fractional positions:
Ba1 0.1557 0.1557 0.0000  8 F 2.72-2.78
Ba2 0.8443 0.8443 0.0000  8 F 2.72-2.78
La1 0.5000 0.5000 0.0000  8 F 2.49-2.51
F1 0.1181 0.3375 0.7805  1 La 2.51, 3 Ba 2.72-2.78, 1 F 2.78
F2 0.2978 0.0000 0.2978  2 La 2.49, 1 F 2.56, 2 Ba 2.75
F3 0.4430 0.6625 0.7805  1 La 2.51, 3 Ba 2.72-2.78, 1 F 2.78
F4 0.5570 0.3375 0.2195  1 La 2.51, 3 Ba 2.72-2.78, 1 F 2.78
F5 0.7022 0.0000 0.7022  2 La 2.49, 1 F 2.56, 2 Ba 2.75
F6 0.8819 0.6625 0.2195  1 La 2.51, 3 Ba 2.72-2.78, 1 F 2.78

***

No. 10
BaLaF2 | GGA-PBE | optimized geometry

Properties
Raw formation energy   -10.87 eV per formula unit
Calculated total energy   -5.3658 eV per atom
Offset from the most stable computed form   0 meV/atom
N(E_F)   8.97 states/eV/cell
Total magnetic moment   0.8 μB/f.u.
Calculated density   4.7 Mg/m³

Lattice parameters (Å, degrees): 4.3807 4.3807 20.2322 90.00 90.00 120.00
Closest atoms and distances in Å follow each position.
Fractional positions:
Ba1 0.0000 0.0000 0.0000  6 F 2.71
Ba2 0.3333 0.6667 0.6667  6 F 2.71
Ba3 0.6667 0.3333 0.3333  6 F 2.71
La1 0.0000 0.0000 0.5000  2 F 2.41
La2 0.3333 0.6667 0.1667  2 F 2.41
La3 0.6667 0.3333 0.8333  2 F 2.41
F1 0.0000 0.0000 0.3808  1 La 2.41
F2 0.0000 0.0000 0.6192  1 La 2.41
F3 0.3333 0.6667 0.0475  1 La 2.41
F4 0.3333 0.6667 0.2859  1 La 2.41
F5 0.6667 0.3333 0.7141  1 La 2.41
F6 0.6667 0.3333 0.9525  1 La 2.41

***

What did the ninth record say?
Ba2LaF6 | GGA-PBE | optimized geometry

Properties
Raw formation energy   -33.82 eV per formula unit
Calculated total energy   -5.9799 eV per atom
Total magnetic moment   1.1 μB/f.u.
Calculated density   5.0 Mg/m³

Lattice parameters (Å, degrees): 7.4858 7.4858 7.4858 146.91 129.89 61.37
Closest atoms and distances in Å follow each position.
Fractional positions:
Ba1 0.1557 0.1557 0.0000  8 F 2.72-2.78
Ba2 0.8443 0.8443 0.0000  8 F 2.72-2.78
La1 0.5000 0.5000 0.0000  8 F 2.49-2.51
F1 0.1181 0.3375 0.7805  1 La 2.51, 3 Ba 2.72-2.78, 1 F 2.78
F2 0.2978 0.0000 0.2978  2 La 2.49, 1 F 2.56, 2 Ba 2.75
F3 0.4430 0.6625 0.7805  1 La 2.51, 3 Ba 2.72-2.78, 1 F 2.78
F4 0.5570 0.3375 0.2195  1 La 2.51, 3 Ba 2.72-2.78, 1 F 2.78
F5 0.7022 0.0000 0.7022  2 La 2.49, 1 F 2.56, 2 Ba 2.75
F6 0.8819 0.6625 0.2195  1 La 2.51, 3 Ba 2.72-2.78, 1 F 2.78

***

- Which of these has the highest calculated total energy?
  number 4

***

- Which value of total magnetic moment does entry 1 give?
  1.1 μB/f.u.

***

Copy entry 8 word for word.
BaLaF2 | GGA-PBE | optimized geometry

Properties
Raw formation energy   -10.07 eV per formula unit
Calculated total energy   -5.1662 eV per atom
Offset from the most stable computed form   200 meV/atom
N(E_F)   8.69 states/eV/cell
Total magnetic moment   2.4 μB/f.u.
Calculated density   4.6 Mg/m³

Lattice parameters (Å, degrees): 6.1019 6.1019 12.2430 90.00 90.00 90.00
Closest atoms and distances in Å follow each position.
Fractional positions:
Ba1 0.0000 0.0000 0.0000  4 F 2.85
Ba2 0.0000 0.5000 0.2500  4 F 2.85
Ba3 0.5000 0.0000 0.7500  4 F 2.85
Ba4 0.5000 0.5000 0.5000  4 F 2.85
La1 0.0000 0.0000 0.5000  4 F 2.47
La2 0.0000 0.5000 0.7500  4 F 2.47
La3 0.5000 0.0000 0.2500  4 F 2.47
La4 0.5000 0.5000 0.0000  4 F 2.47
F1 0.1953 0.2500 0.6250  2 La 2.47
F2 0.2500 0.6953 0.8750  2 La 2.47
F3 0.2500 0.8047 0.3750  2 La 2.47
F4 0.3047 0.2500 0.1250  2 La 2.47
F5 0.6953 0.7500 0.1250  2 La 2.47
F6 0.7500 0.1953 0.3750  2 La 2.47
F7 0.7500 0.3047 0.8750  2 La 2.47
F8 0.8047 0.7500 0.6250  2 La 2.47